[1]
Entry from Alexandria via LeMat-Bulk: a relaxed structure of Ba2NaAg2 (GGA-PBE).

a b c (Å): 4.0945 4.0945 22.8608
angles (deg): 90.00 90.00 90.00
Last column: nearest neighbours and their distance in Å.
Space group I4/mmm (No. 139)
One atom of each set of equivalent atoms:
Ba 0.0000 0.0000 0.1287 x4  4 Ag 3.45
Na 0.0000 0.0000 0.5000 x2  4 Na 4.09, 8 Ba 4.13
Ag 0.0000 0.5000 0.2500 x4  4 Ag 2.90

Computed properties:
Fermi-level density of states   8.39 states/eV/cell
ΔE_f   0.001 eV per atom
Excess energy over the best structure of this formula in the dataset   225 meV/atom



[2]
Entry from Alexandria via LeMat-Bulk: a relaxed structure of Ba6NaAg (GGA-PBE).

a b c (Å): 6.1700 6.1700 22.0270
angles (deg): 90.00 90.00 90.00
Last column: nearest neighbours and their distance in Å.
Space group I4/mmm (No. 139)
One atom of each set of equivalent atoms:
Ba 0.0000 0.0000 0.2484 x4  12 Ba 4.36-4.61
Ba 0.0000 0.5000 0.0959 x8  2 Na 3.74, 2 Ag 3.74
Na 0.0000 0.0000 0.0000 x2  8 Ba 3.74
Ag 0.0000 0.0000 0.5000 x2  8 Ba 3.74

Computed properties:
Fermi-level density of states   18.63 states/eV/cell
ΔE_f   -0.023 eV per atom
Excess energy over the best structure of this formula in the dataset   0 meV/atom



Among the records above, which one has the highest Fermi-level density of states?
Ba6NaAg



What is the ΔE_f in the first record?
0.001 eV per atom



Which of these has the highest Fermi-level density of states?
Ba6NaAg



Please write out number 1 again, unchanged.
Entry from Alexandria via LeMat-Bulk: a relaxed structure of Ba2NaAg2 (GGA-PBE).

a b c (Å): 4.0945 4.0945 22.8608
angles (deg): 90.00 90.00 90.00
Last column: nearest neighbours and their distance in Å.
Space group I4/mmm (No. 139)
One atom of each set of equivalent atoms:
Ba 0.0000 0.0000 0.1287 x4  4 Ag 3.45
Na 0.0000 0.0000 0.5000 x2  4 Na 4.09, 8 Ba 4.13
Ag 0.0000 0.5000 0.2500 x4  4 Ag 2.90

Computed properties:
Fermi-level density of states   8.39 states/eV/cell
ΔE_f   0.001 eV per atom
Excess energy over the best structure of this formula in the dataset   225 meV/atom